Entry 1:
An optimized crystal structure of Sr2SbW. Source: Alexandria via LeMat-Bulk, functional PBE-GGA.

## Properties
The total energy is -4.808 eV per atom. As for the symmetry: P4mm. As for the crystal system: tetragonal. For the density of states at the Fermi level, the calculation gives 1.001 states/eV/atom. As for the total moment: 0.0 μB per formula unit.

Unit cell a=3.6557 b=3.6557 c=9.3147 alpha=90.00 beta=90.00 gamma=90.00
Last column: nearest neighbours and their distance in Å.
Atoms (fractional coordinates):
Sb (0.5000, 0.5000, 0.6853)  4 W 2.82
Sr (0.0000, 0.0000, 0.9270)  1 W 3.37, 4 Sb 3.43, 4 Sr 3.66
Sr (0.5000, 0.5000, 0.3229)  1 Sb 3.38, 4 W 3.43, 4 Sr 3.66
W (0.0000, 0.0000, 0.5648)  4 Sb 2.82

=====

Entry 2:
An optimized crystal structure of TmMg2. Source: Alexandria via LeMat-Bulk, functional PBE-GGA.

## Properties
The total energy is -2.608 eV per atom. As for the symmetry: Fd-3m. As for the crystal system: cubic. For the density of states at the Fermi level, the calculation gives 1.150 states/eV/atom. The calculation puts the formation energy from the elements at -0.054 eV per atom. As for the total moment: 0.0 μB per formula unit.

Unit cell a=5.9910 b=5.9910 c=5.9910 alpha=60.00 beta=60.00 gamma=60.00
Last column: nearest neighbours and their distance in Å.
Atoms (fractional coordinates):
Mg (0.0000, 0.5000, 0.0000)  6 Mg 3.00
Mg (0.0000, 0.5000, 0.5000)  6 Mg 3.00
Mg (0.0000, 0.0000, 0.5000)  6 Mg 3.00
Mg (0.5000, 0.5000, 0.5000)  6 Mg 3.00
Tm (0.6250, 0.1250, 0.1250)  12 Mg 3.51, 4 Tm 3.67
Tm (0.3750, 0.8750, 0.8750)  12 Mg 3.51, 4 Tm 3.67